Crystalline LuUCo4 at its relaxed geometry. Source: Alexandria, functional PBE.

Summary:
The value obtained for the density of states at the Fermi level is 10.03 states/eV/f.u. As for the energy of formation from the pure elements: -0.19 eV/atom. The value obtained for the uncorrected energy is -181.6 eV for the cell shown.

Cell lengths 7.003, 7.003, 7.003 Å; angles 90.00, 90.00, 90.00 degrees
Space group F-43m (No. 216)
Symmetry-distinct sites (fractional):
Lu (0.000, 0.000, 0.000) [4 per cell]
U (0.250, 0.250, 0.250) [4 per cell]
Co (0.125, 0.125, 0.625) [16 per cell]